[1]
# CeBCl GGA-PBE optimized geometry
data_CeBCl
_chemical_formula_sum 'Ce2 B2 Cl2'
_space_group_name_H-M_alt 'P 1'
_space_group_IT_number 1
_cell_length_a 4.042
_cell_length_b 5.573
_cell_length_c 8.297
_cell_angle_alpha 108.74
_cell_angle_beta 112.43
_cell_angle_gamma 90.44
loop_
_space_group_symop_operation_xyz
'x,y,z'
loop_
_atom_site_label
_atom_site_type_symbol
_atom_site_fract_x
_atom_site_fract_y
_atom_site_fract_z
B1 B 0.601 0.439 0.936
B2 B 0.399 0.561 0.064
Ce1 Ce 0.066 0.639 0.271
Cl1 Cl 0.174 0.203 0.402
Cl2 Cl 0.826 0.797 0.598
Ce2 Ce 0.934 0.361 0.729
# DFT total energy, eV per formula unit: -16.58
# DOS at the Fermi energy, states/eV per atom: 1.5702
# Formation energy without anion corrections, eV/f.u.: -2.12


[2]
# NdDyTm2 GGA-PBE optimized geometry
data_NdDyTm2
_chemical_formula_sum 'Nd1 Dy1 Tm2'
_space_group_name_H-M_alt 'P 1'
_space_group_IT_number 1
_cell_length_a 4.992
_cell_length_b 5.032
_cell_length_c 5.032
_cell_angle_alpha 90.00
_cell_angle_beta 90.00
_cell_angle_gamma 90.00
loop_
_space_group_symop_operation_xyz
'x,y,z'
loop_
_atom_site_label
_atom_site_type_symbol
_atom_site_fract_x
_atom_site_fract_y
_atom_site_fract_z
Nd1 Nd 0.500 0.500 0.500
Tm1 Tm 0.000 0.500 0.000
Dy1 Dy 0.500 0.000 0.000
Tm2 Tm 0.000 0.000 0.500
# DFT total energy, eV per formula unit: -18.21
# DOS at the Fermi energy, states/eV per atom: 1.4762
# Distance to the lowest polymorph of the same formula, meV/atom: 15
# Calculated formation energy, eV per atom: 0.03


[3]
# RbSn GGA-PBE optimized geometry
data_RbSn
_chemical_formula_sum 'Rb16 Sn16'
_space_group_name_H-M_alt 'P 1'
_space_group_IT_number 1
_cell_length_a 12.861
_cell_length_b 12.861
_cell_length_c 12.861
_cell_angle_alpha 124.98
_cell_angle_beta 124.98
_cell_angle_gamma 81.57
loop_
_space_group_symop_operation_xyz
'x,y,z'
loop_
_atom_site_label
_atom_site_type_symbol
_atom_site_fract_x
_atom_site_fract_y
_atom_site_fract_z
Sn1 Sn 0.508 0.336 0.954
Rb1 Rb 0.372 0.128 0.000
Rb2 Rb 0.878 0.378 0.256
Rb3 Rb 0.872 0.872 0.244
Rb4 Rb 0.128 0.372 0.000
Rb5 Rb 0.987 0.875 0.612
Sn2 Sn 0.742 0.196 0.328
Rb6 Rb 0.628 0.628 0.756
Sn3 Sn 0.446 0.492 0.828
Rb7 Rb 0.763 0.375 0.888
Rb8 Rb 0.125 0.737 0.112
Rb9 Rb 0.625 0.013 0.888
Sn4 Sn 0.086 0.632 0.328
Sn5 Sn 0.164 0.992 0.046
Rb10 Rb 0.263 0.375 0.388
Sn6 Sn 0.664 0.618 0.172
Sn7 Sn 0.868 0.414 0.672
Rb11 Rb 0.622 0.878 0.500
Rb12 Rb 0.122 0.622 0.744
Rb13 Rb 0.487 0.875 0.112
Rb14 Rb 0.625 0.513 0.388
Sn8 Sn 0.804 0.132 0.546
Sn9 Sn 0.882 0.836 0.828
Sn10 Sn 0.382 0.554 0.046
Sn11 Sn 0.008 0.054 0.172
Sn12 Sn 0.304 0.758 0.672
Sn13 Sn 0.586 0.258 0.454
Sn14 Sn 0.946 0.118 0.954
Rb15 Rb 0.378 0.122 0.500
Sn15 Sn 0.368 0.696 0.454
Sn16 Sn 0.242 0.914 0.546
Rb16 Rb 0.125 0.237 0.612
# DFT total energy, eV per formula unit: -5.55
# Calculated formation energy, eV per atom: -0.29


[4]
# Nb12GaSn6 GGA-PBE optimized geometry
data_Nb12GaSn6
_chemical_formula_sum 'Nb12 Ga1 Sn6'
_space_group_name_H-M_alt 'P 1'
_space_group_IT_number 1
_cell_length_a 7.197
_cell_length_b 7.197
_cell_length_c 7.197
_cell_angle_alpha 91.54
_cell_angle_beta 91.54
_cell_angle_gamma 91.54
loop_
_space_group_symop_operation_xyz
'x,y,z'
loop_
_atom_site_label
_atom_site_type_symbol
_atom_site_fract_x
_atom_site_fract_y
_atom_site_fract_z
Sn1 Sn 0.733 0.279 0.121
Nb1 Nb 0.373 0.059 0.140
Nb2 Nb 0.524 0.434 0.804
Nb3 Nb 0.860 0.627 0.941
Sn2 Sn 0.721 0.879 0.267
Nb4 Nb 0.140 0.373 0.059
Nb5 Nb 0.196 0.476 0.566
Ga1 Ga 0.000 0.000 0.000
Nb6 Nb 0.059 0.140 0.373
Sn3 Sn 0.279 0.121 0.733
Nb7 Nb 0.476 0.566 0.196
Nb8 Nb 0.566 0.196 0.476
Nb9 Nb 0.941 0.860 0.627
Sn4 Sn 0.267 0.721 0.879
Nb10 Nb 0.804 0.524 0.434
Nb11 Nb 0.627 0.941 0.860
Sn5 Sn 0.121 0.733 0.279
Nb12 Nb 0.434 0.804 0.524
Sn6 Sn 0.879 0.267 0.721
# DFT total energy, eV per formula unit: -147.32
# DOS at the Fermi energy, states/eV per atom: 0.8797
# Calculated formation energy, eV per atom: 0.03


[5]
# Sc3MoS GGA-PBE optimized geometry
data_Sc3MoS
_chemical_formula_sum 'Sc3 Mo1 S1'
_space_group_name_H-M_alt 'P 1'
_space_group_IT_number 1
_cell_length_a 5.007
_cell_length_b 5.007
_cell_length_c 5.007
_cell_angle_alpha 90.00
_cell_angle_beta 90.00
_cell_angle_gamma 90.00
loop_
_space_group_symop_operation_xyz
'x,y,z'
loop_
_atom_site_label
_atom_site_type_symbol
_atom_site_fract_x
_atom_site_fract_y
_atom_site_fract_z
Sc1 Sc 0.500 0.000 0.000
Sc2 Sc 0.000 0.500 0.000
S1 S 0.500 0.500 0.500
Sc3 Sc 0.000 0.000 0.500
Mo1 Mo 0.000 0.000 0.000
# DFT total energy, eV per formula unit: -31.95
# DOS at the Fermi energy, states/eV per atom: 1.3248
# Distance to the lowest polymorph of the same formula, meV/atom: 598
# Formation energy without anion corrections, eV/f.u.: 2.01


[6]
# Zr2MnPt GGA-PBE optimized geometry
data_Zr2MnPt
_chemical_formula_sum 'Zr2 Mn1 Pt1'
_space_group_name_H-M_alt 'P 1'
_space_group_IT_number 1
_cell_length_a 4.639
_cell_length_b 4.639
_cell_length_c 4.639
_cell_angle_alpha 60.00
_cell_angle_beta 60.00
_cell_angle_gamma 60.00
loop_
_space_group_symop_operation_xyz
'x,y,z'
loop_
_atom_site_label
_atom_site_type_symbol
_atom_site_fract_x
_atom_site_fract_y
_atom_site_fract_z
Mn1 Mn 0.000 0.000 0.000
Pt1 Pt 0.500 0.500 0.500
Zr1 Zr 0.750 0.750 0.750
Zr2 Zr 0.250 0.250 0.250
# DFT total energy, eV per formula unit: -34.18
# DOS at the Fermi energy, states/eV per atom: 0.9160
# Distance to the lowest polymorph of the same formula, meV/atom: 75
# Calculated formation energy, eV per atom: -0.47


[7]
# SiPBr2 GGA-PBE optimized geometry
data_SiPBr2
_chemical_formula_sum 'Si1 P1 Br2'
_space_group_name_H-M_alt 'P 1'
_space_group_IT_number 1
_cell_length_a 9.894
_cell_length_b 9.894
_cell_length_c 9.894
_cell_angle_alpha 21.15
_cell_angle_beta 21.15
_cell_angle_gamma 21.15
loop_
_space_group_symop_operation_xyz
'x,y,z'
loop_
_atom_site_label
_atom_site_type_symbol
_atom_site_fract_x
_atom_site_fract_y
_atom_site_fract_z
Br1 Br 0.476 0.476 0.476
Br2 Br 0.024 0.024 0.024
Si1 Si 0.750 0.750 0.750
P1 P 0.250 0.250 0.250
# DFT total energy, eV per formula unit: -11.62
# DOS at the Fermi energy, states/eV per atom: 0.3414
# Distance to the lowest polymorph of the same formula, meV/atom: 822
# Formation energy without anion corrections, eV/f.u.: 2.56


[8]
# Dy4SbAs3 GGA-PBE optimized geometry
data_Dy4SbAs3
_chemical_formula_sum 'Dy4 Sb1 As3'
_space_group_name_H-M_alt 'P 1'
_space_group_IT_number 1
_cell_length_a 4.179
_cell_length_b 7.257
_cell_length_c 7.257
_cell_angle_alpha 70.63
_cell_angle_beta 90.00
_cell_angle_gamma 90.00
loop_
_space_group_symop_operation_xyz
'x,y,z'
loop_
_atom_site_label
_atom_site_type_symbol
_atom_site_fract_x
_atom_site_fract_y
_atom_site_fract_z
As1 As 0.500 0.000 0.500
Dy1 Dy 0.500 0.756 0.255
Sb1 Sb 0.500 0.500 0.000
Dy2 Dy 0.000 0.761 0.739
As2 As 0.000 0.000 0.000
Dy3 Dy 0.500 0.245 0.745
Dy4 Dy 0.000 0.239 0.261
As3 As 0.000 0.500 0.500
# DFT total energy, eV per formula unit: -47.77
# DOS at the Fermi energy, states/eV per atom: 0.1170
# Formation energy without anion corrections, eV/f.u.: -11.30


[9]
# Cd12Hg6Sb GGA-PBE optimized geometry
data_Cd12Hg6Sb
_chemical_formula_sum 'Cd12 Hg6 Sb1'
_space_group_name_H-M_alt 'P 1'
_space_group_IT_number 1
_cell_length_a 7.919
_cell_length_b 7.919
_cell_length_c 7.919
_cell_angle_alpha 80.58
_cell_angle_beta 80.58
_cell_angle_gamma 80.58
loop_
_space_group_symop_operation_xyz
'x,y,z'
loop_
_atom_site_label
_atom_site_type_symbol
_atom_site_fract_x
_atom_site_fract_y
_atom_site_fract_z
Hg1 Hg 0.077 0.414 0.188
Cd1 Cd 0.241 0.677 0.909
Hg2 Hg 0.188 0.077 0.414
Cd2 Cd 0.571 0.227 0.450
Cd3 Cd 0.759 0.323 0.091
Cd4 Cd 0.091 0.759 0.323
Cd5 Cd 0.677 0.909 0.241
Hg3 Hg 0.586 0.812 0.923
Hg4 Hg 0.414 0.188 0.077
Sb1 Sb 0.000 0.000 0.000
Cd6 Cd 0.429 0.773 0.550
Hg5 Hg 0.923 0.586 0.812
Cd7 Cd 0.227 0.450 0.571
Cd8 Cd 0.550 0.429 0.773
Cd9 Cd 0.450 0.571 0.227
Cd10 Cd 0.323 0.091 0.759
Cd11 Cd 0.909 0.241 0.677
Cd12 Cd 0.773 0.550 0.429
Hg6 Hg 0.812 0.923 0.586
# DFT total energy, eV per formula unit: -16.14
# DOS at the Fermi energy, states/eV per atom: 0.2493
# Distance to the lowest polymorph of the same formula, meV/atom: 9
# Formation energy without anion corrections, eV/f.u.: 0.78


[10]
# Li5Dy3H12 GGA-PBE optimized geometry
data_Li5Dy3H12
_chemical_formula_sum 'Li20 Dy12 H48'
_space_group_name_H-M_alt 'P 1'
_space_group_IT_number 1
_cell_length_a 10.255
_cell_length_b 10.255
_cell_length_c 10.255
_cell_angle_alpha 109.47
_cell_angle_beta 109.47
_cell_angle_gamma 109.47
loop_
_space_group_symop_operation_xyz
'x,y,z'
loop_
_atom_site_label
_atom_site_type_symbol
_atom_site_fract_x
_atom_site_fract_y
_atom_site_fract_z
H1 H 0.461 0.782 0.870
Dy1 Dy 0.875 0.750 0.125
H2 H 0.282 0.870 0.961
Li1 Li 0.750 0.625 0.375
Dy2 Dy 0.875 0.125 0.250
Li2 Li 0.000 0.000 0.000
H3 H 0.782 0.461 0.370
H4 H 0.039 0.630 0.718
H5 H 0.679 0.218 0.587
H6 H 0.321 0.782 0.413
H7 H 0.179 0.087 0.718
Li3 Li 0.375 0.125 0.750
Dy3 Dy 0.125 0.250 0.875
H8 H 0.413 0.282 0.321
H9 H 0.630 0.039 0.218
Li4 Li 0.625 0.875 0.250
H10 H 0.870 0.282 0.461
H11 H 0.630 0.592 0.913
Dy4 Dy 0.250 0.125 0.375
H12 H 0.718 0.130 0.039
H13 H 0.413 0.130 0.592
Li5 Li 0.000 0.000 0.500
H14 H 0.282 0.413 0.821
Dy5 Dy 0.625 0.250 0.375
Li6 Li 0.625 0.750 0.875
Dy6 Dy 0.375 0.625 0.250
H15 H 0.370 0.408 0.087
Li7 Li 0.500 0.500 0.000
Li8 Li 0.250 0.875 0.125
Li9 Li 0.750 0.125 0.875
H16 H 0.679 0.461 0.592
H17 H 0.092 0.179 0.461
Dy7 Dy 0.750 0.375 0.125
Li10 Li 0.500 0.000 0.000
Li11 Li 0.250 0.375 0.625
H18 H 0.039 0.408 0.821
H19 H 0.321 0.539 0.408
Dy8 Dy 0.625 0.375 0.750
H20 H 0.218 0.679 0.087
H21 H 0.913 0.821 0.782
Dy9 Dy 0.250 0.625 0.875
Dy10 Dy 0.375 0.750 0.625
Li12 Li 0.000 0.500 0.000
H22 H 0.218 0.539 0.630
H23 H 0.370 0.961 0.782
H24 H 0.961 0.592 0.179
H25 H 0.092 0.913 0.130
H26 H 0.539 0.218 0.130
H27 H 0.130 0.413 0.092
H28 H 0.821 0.908 0.039
H29 H 0.087 0.179 0.218
H30 H 0.961 0.370 0.282
H31 H 0.087 0.908 0.370
H32 H 0.870 0.587 0.908
Li13 Li 0.500 0.000 0.500
Li14 Li 0.875 0.625 0.750
H33 H 0.821 0.913 0.282
H34 H 0.408 0.370 0.587
H35 H 0.782 0.321 0.913
H36 H 0.408 0.039 0.321
H37 H 0.130 0.718 0.539
H38 H 0.908 0.087 0.870
Li15 Li 0.125 0.750 0.375
H39 H 0.592 0.630 0.413
Li16 Li 0.000 0.500 0.500
Li17 Li 0.125 0.375 0.250
Li18 Li 0.500 0.500 0.500
H40 H 0.587 0.870 0.408
H41 H 0.587 0.718 0.679
H42 H 0.908 0.821 0.539
H43 H 0.461 0.679 0.092
H44 H 0.718 0.587 0.179
H45 H 0.539 0.321 0.908
Li19 Li 0.375 0.250 0.125
H46 H 0.179 0.092 0.961
Li20 Li 0.875 0.250 0.625
H47 H 0.913 0.092 0.630
Dy11 Dy 0.750 0.875 0.625
H48 H 0.592 0.961 0.679
Dy12 Dy 0.125 0.875 0.750
# DFT total energy, eV per formula unit: -72.70
# DOS at the Fermi energy, states/eV per atom: 0.1722


[11]
# OsRh3Br GGA-PBE optimized geometry
data_OsRh3Br
_chemical_formula_sum 'Os1 Rh3 Br1'
_space_group_name_H-M_alt 'P 1'
_space_group_IT_number 1
_cell_length_a 4.542
_cell_length_b 4.542
_cell_length_c 4.542
_cell_angle_alpha 90.00
_cell_angle_beta 90.00
_cell_angle_gamma 90.00
loop_
_space_group_symop_operation_xyz
'x,y,z'
loop_
_atom_site_label
_atom_site_type_symbol
_atom_site_fract_x
_atom_site_fract_y
_atom_site_fract_z
Rh1 Rh 0.500 0.000 0.000
Rh2 Rh 0.000 0.000 0.500
Os1 Os 0.500 0.500 0.500
Rh3 Rh 0.000 0.500 0.000
Br1 Br 0.000 0.000 0.000
# DFT total energy, eV per formula unit: -26.41
# DOS at the Fermi energy, states/eV per atom: 1.8619
# Distance to the lowest polymorph of the same formula, meV/atom: 376
# Formation energy without anion corrections, eV/f.u.: 8.55


[12]
# LaVIn2Os GGA-PBE optimized geometry
data_LaVIn2Os
_chemical_formula_sum 'La1 V1 In2 Os1'
_space_group_name_H-M_alt 'P 1'
_space_group_IT_number 1
_cell_length_a 5.878
_cell_length_b 4.855
_cell_length_c 5.878
_cell_angle_alpha 90.00
_cell_angle_beta 90.00
_cell_angle_gamma 90.00
loop_
_space_group_symop_operation_xyz
'x,y,z'
loop_
_atom_site_label
_atom_site_type_symbol
_atom_site_fract_x
_atom_site_fract_y
_atom_site_fract_z
Os1 Os 0.000 0.500 0.000
In1 In 0.500 0.000 0.000
V1 V 0.500 0.500 0.500
In2 In 0.000 0.000 0.500
La1 La 0.000 0.000 0.000
# DFT total energy, eV per formula unit: -20.83
# DOS at the Fermi energy, states/eV per atom: 1.8828
# Calculated formation energy, eV per atom: 1.99